Entry 1:
# SbP3Pt (PBE, relaxed)
# raw formation energy = 0.681 eV/atom
data_SbP3Pt
_cell_length_a 4.7280
_cell_length_b 4.7280
_cell_length_c 4.7280
_cell_angle_alpha 90.00
_cell_angle_beta 90.00
_cell_angle_gamma 90.00
_symmetry_space_group_name_H-M 'P m -3 m'
_symmetry_Int_Tables_number 221
_symmetry_space_group_name_Hall '-P 4 2 3'
loop_
_atom_site_label
_atom_site_fract_x
_atom_site_fract_y
_atom_site_fract_z
Sb1 0.0000 0.0000 0.0000
P1 0.0000 0.5000 0.5000
Pt1 0.5000 0.5000 0.5000

---

Entry 2:
# Er2InAu (PBE, relaxed)
# formation enthalpy at 0 K = -0.672 eV per atom
data_Er2InAu
_cell_length_a 3.5797
_cell_length_b 3.5797
_cell_length_c 7.6221
_cell_angle_alpha 90.00
_cell_angle_beta 90.00
_cell_angle_gamma 90.00
_symmetry_space_group_name_H-M 'P 4/m m m'
_symmetry_Int_Tables_number 123
_symmetry_space_group_name_Hall '-P 4 2'
loop_
_atom_site_label
_atom_site_fract_x
_atom_site_fract_y
_atom_site_fract_z
Er1 0.0000 0.0000 0.2309
In1 0.5000 0.5000 0.5000
Au1 0.5000 0.5000 0.0000

---

Entry 3:
# CuMo2Pb (PBE, relaxed)
# formation enthalpy at 0 K = 0.605 eV per atom
data_CuMo2Pb
_cell_length_a 2.8759
_cell_length_b 4.5266
_cell_length_c 5.5306
_cell_angle_alpha 90.00
_cell_angle_beta 100.91
_cell_angle_gamma 90.00
_symmetry_space_group_name_H-M 'P 1 2/m 1'
_symmetry_Int_Tables_number 10
_symmetry_space_group_name_Hall '-P 2y'
loop_
_atom_site_label
_atom_site_fract_x
_atom_site_fract_y
_atom_site_fract_z
Cu1 0.0000 0.0000 0.0000
Mo1 0.2945 0.5000 0.7877
Pb1 0.5000 0.0000 0.5000

---

Entry 4:
# AcLaSm2Tl4 (PBE, relaxed)
# formation enthalpy at 0 K = -0.368 eV per atom
data_AcLaSm2Tl4
_cell_length_a 5.6128
_cell_length_b 5.6128
_cell_length_c 27.5034
_cell_angle_alpha 90.00
_cell_angle_beta 90.00
_cell_angle_gamma 120.00
_symmetry_space_group_name_H-M 'R -3 m'
_symmetry_Int_Tables_number 166
_symmetry_space_group_name_Hall '-R 3 2"'
loop_
_atom_site_label
_atom_site_fract_x
_atom_site_fract_y
_atom_site_fract_z
Ac1 0.0000 0.0000 0.0000
La1 0.0000 0.0000 0.5000
Sm1 0.0000 0.0000 0.2497
Tl1 0.0000 0.0000 0.1266
Tl2 0.0000 0.0000 0.3769

---

Entry 5:
# ZrBRh3 (PBE, relaxed)
# formation enthalpy at 0 K = -0.472 eV per atom
data_ZrBRh3
_cell_length_a 6.8717
_cell_length_b 5.5547
_cell_length_c 8.5749
_cell_angle_alpha 90.00
_cell_angle_beta 114.32
_cell_angle_gamma 90.00
_symmetry_space_group_name_H-M 'P 1 21/c 1'
_symmetry_Int_Tables_number 14
_symmetry_space_group_name_Hall '-P 2ybc'
loop_
_atom_site_label
_atom_site_fract_x
_atom_site_fract_y
_atom_site_fract_z
Zr1 0.1040 0.2112 0.1511
B1 0.4585 0.7463 0.3933
Rh1 0.1451 0.7115 0.1823
Rh2 0.2882 0.0226 0.4699
Rh3 0.4979 0.1097 0.8468

---

Entry 6:
# Ba2SbAs (PBE, relaxed)
# raw formation energy = -0.549 eV/atom
data_Ba2SbAs
_cell_length_a 4.9991
_cell_length_b 4.9991
_cell_length_c 25.1881
_cell_angle_alpha 90.00
_cell_angle_beta 90.00
_cell_angle_gamma 120.00
_symmetry_space_group_name_H-M 'R 3 m'
_symmetry_Int_Tables_number 160
_symmetry_space_group_name_Hall 'R 3 -2"'
loop_
_atom_site_label
_atom_site_fract_x
_atom_site_fract_y
_atom_site_fract_z
Ba1 0.0000 0.0000 0.0000
Ba2 0.0000 0.0000 0.1661
Sb1 0.0000 0.0000 0.4201
As1 0.0000 0.0000 0.7439

---

Entry 7:
# AlTcNi2 (PBE, relaxed)
# formation enthalpy at 0 K = -0.175 eV per atom
data_AlTcNi2
_cell_length_a 2.6842
_cell_length_b 4.3420
_cell_length_c 8.6295
_cell_angle_alpha 90.00
_cell_angle_beta 90.00
_cell_angle_gamma 90.00
_symmetry_space_group_name_H-M 'I m m 2'
_symmetry_Int_Tables_number 44
_symmetry_space_group_name_Hall 'I 2 -2'
loop_
_atom_site_label
_atom_site_fract_x
_atom_site_fract_y
_atom_site_fract_z
Al1 0.0000 0.0000 0.0000
Tc1 0.0000 0.5000 0.2352
Ni1 0.0000 0.0000 0.4794
Ni2 0.0000 0.5000 0.7375

---

Entry 8:
# SiIr2Rh (PBE, relaxed)
# raw formation energy = -0.077 eV/atom
data_SiIr2Rh
_cell_length_a 2.7443
_cell_length_b 4.5534
_cell_length_c 4.5645
_cell_angle_alpha 90.00
_cell_angle_beta 90.00
_cell_angle_gamma 90.00
_symmetry_space_group_name_H-M 'P m m m'
_symmetry_Int_Tables_number 47
_symmetry_space_group_name_Hall '-P 2 2'
loop_
_atom_site_label
_atom_site_fract_x
_atom_site_fract_y
_atom_site_fract_z
Si1 0.0000 0.0000 0.0000
Ir1 0.0000 0.5000 0.5000
Ir2 0.5000 0.5000 0.0000
Rh1 0.5000 0.0000 0.5000

---

| no. | DOS at the Fermi energy (states/eV/atom) |
| --- | --- |
| 1 | 0.8891 |
| 2 | 0.5561 |
| 3 | 0.7095 |
| 4 | 0.9367 |
| 5 | 0.6814 |
| 6 | 0.9827 |
| 7 | 1.1417 |
| 8 | 1.0146 |